LaScW2 after structural relaxation, computed with PBE.

```
LaScW2
1.0
-0.182 -1.139 4.710
4.844 0.074 0.210
-2.417 3.864 -1.658
W La Sc
2 1 1
direct
0.250 0.750 0.500
0.000 0.000 0.000
0.500 0.500 0.000
0.750 0.250 0.500
```

- mass density (g/cm³) = 11.363
- formation energy (eV/atom) = 0.59
- DOS at the Fermi energy (states/eV per atom) = 1.762



LaScW2 after structural relaxation, computed with PBE.

```
LaScW2
1.0
-2.024 1.801 -1.275
1.011 -2.114 -1.865
-7.537 -6.303 3.058
Sc W La
1 2 1
direct
0.500 0.500 0.795
0.500 0.500 0.214
0.000 0.000 0.020
0.000 0.000 0.471
```

- mass density (g/cm³) = 10.768
- formation energy (eV/atom) = 0.41
- DOS at the Fermi energy (states/eV per atom) = 1.206



La4ScW after structural relaxation, computed with PBE.

```
La4ScW
1.0
-3.427 -4.603 -2.545
-5.722 -1.265 2.251
-5.089 1.389 -3.403
W La Sc
1 4 1
direct
0.000 0.000 0.000
0.374 0.374 0.879
0.879 0.374 0.374
0.374 0.879 0.374
0.374 0.374 0.374
0.750 0.750 0.750
```

- mass density (g/cm³) = 7.446
- formation energy (eV/atom) = 0.94
- DOS at the Fermi energy (states/eV per atom) = 1.845



LaScW after structural relaxation, computed with PBE.

```
LaScW
1.0
4.713 0.000 0.000
2.356 4.081 0.000
2.356 1.360 3.848
Sc W La
1 1 1
direct
0.000 0.000 0.000
0.500 0.500 0.500
0.750 0.750 0.750
```

- mass density (g/cm³) = 8.250
- formation energy (eV/atom) = 1.47
- DOS at the Fermi energy (states/eV per atom) = 1.134



LaScW2 after structural relaxation, computed with PBE.

```
LaScW2
1.0
5.811 0.020 -0.003
2.925 5.022 0.003
-3.905 -3.323 2.735
Sc W La
1 2 1
direct
0.250 0.750 0.500
0.498 0.498 0.000
0.002 0.002 0.000
0.750 0.250 0.500
```

- mass density (g/cm³) = 11.494
- formation energy (eV/atom) = 0.68
- DOS at the Fermi energy (states/eV per atom) = 1.339



LaScW after structural relaxation, computed with PBE.

```
LaScW
1.0
4.963 0.000 0.000
-2.481 4.298 0.000
0.000 0.000 3.149
La W Sc
1 1 1
direct
0.000 0.000 0.833
0.667 0.333 0.834
0.333 0.667 0.333
```

- mass density (g/cm³) = 9.090
- formation energy (eV/atom) = 0.51
- DOS at the Fermi energy (states/eV per atom) = 0.530



LaScW2 after structural relaxation, computed with PBE.

```
LaScW2
1.0
10.719 -0.021 -0.013
10.307 2.943 -0.013
10.307 1.432 2.571
W Sc La
2 1 1
direct
0.508 0.508 0.508
0.992 0.992 0.992
0.250 0.250 0.250
0.750 0.750 0.750
```

- mass density (g/cm³) = 11.161
- formation energy (eV/atom) = 0.76
- DOS at the Fermi energy (states/eV per atom) = 1.734



LaScW3 after structural relaxation, computed with PBE.

```
LaScW3
1.0
-4.153 2.420 -0.463
-2.355 -3.632 2.139
0.724 2.066 4.304
W La Sc
3 1 1
direct
0.000 0.000 0.500
0.500 0.000 0.000
0.000 0.500 0.000
0.500 0.500 0.500
0.000 0.000 0.000
```

- mass density (g/cm³) = 10.846
- formation energy (eV/atom) = 1.92
- DOS at the Fermi energy (states/eV per atom) = 0.857



LaScW2 after structural relaxation, computed with PBE.

```
LaScW2
1.0
3.273 0.000 0.000
0.000 3.273 0.000
0.000 0.000 8.344
Sc La W
1 1 2
direct
0.500 0.500 0.818
0.000 0.000 0.461
0.500 0.500 0.191
0.000 0.000 0.030
```

- mass density (g/cm³) = 10.245
- formation energy (eV/atom) = 0.22
- DOS at the Fermi energy (states/eV per atom) = 1.241



LaScW2 after structural relaxation, computed with PBE.

```
LaScW2
1.0
-1.051 9.903 -2.067
-3.960 9.322 -0.924
-1.573 9.991 1.067
Sc W La
1 2 1
direct
0.735 0.735 0.735
0.992 0.992 0.992
0.264 0.264 0.264
0.509 0.509 0.509
```

- mass density (g/cm³) = 10.459
- formation energy (eV/atom) = 0.52
- DOS at the Fermi energy (states/eV per atom) = 1.332



LaScW2 after structural relaxation, computed with PBE.

```
LaScW2
1.0
-0.271 -0.324 -2.864
2.621 -0.883 0.857
-3.643 -9.447 1.414
W La Sc
2 1 1
direct
0.000 0.000 0.980
0.000 0.000 0.520
0.500 0.500 0.250
0.500 0.500 0.750
```

- mass density (g/cm³) = 11.381
- formation energy (eV/atom) = 0.62
- DOS at the Fermi energy (states/eV per atom) = 1.279



LaScW2 after structural relaxation, computed with PBE.

```
LaScW2
1.0
7.971 0.000 0.000
0.000 7.971 0.000
3.986 3.986 2.773
W La Sc
4 2 2
direct
0.605 0.125 0.250
0.875 0.855 0.750
0.375 0.395 0.750
0.145 0.625 0.250
0.750 0.250 0.500
0.000 0.000 0.000
0.500 0.500 0.000
0.250 0.750 0.500
```

- mass density (g/cm³) = 10.397
- formation energy (eV/atom) = 1.20
- DOS at the Fermi energy (states/eV per atom) = 2.044



LaSc3W after structural relaxation, computed with PBE.

```
LaSc3W
1.0
-2.489 -1.981 4.105
-1.746 -3.905 -2.943
4.210 -2.791 1.206
W La Sc
1 1 3
direct
0.000 0.000 0.000
0.500 0.500 0.500
0.000 0.500 0.000
0.000 0.000 0.500
0.500 0.000 0.000
```

- mass density (g/cm³) = 5.427
- formation energy (eV/atom) = 0.39
- DOS at the Fermi energy (states/eV per atom) = 1.300



LaScW2 after structural relaxation, computed with PBE.

```
LaScW2
1.0
-3.784 -0.033 -4.584
0.044 -4.722 -3.609
-0.794 1.962 5.554
W Sc La
2 1 1
direct
0.782 0.282 0.500
0.960 0.960 0.000
0.244 0.744 0.500
0.515 0.515 0.000
```

- mass density (g/cm³) = 10.271
- formation energy (eV/atom) = 0.45
- DOS at the Fermi energy (states/eV per atom) = 0.839



LaScW after structural relaxation, computed with PBE.

```
LaScW
1.0
-4.799 -4.041 -2.680
-3.058 -5.935 1.402
2.238 6.157 1.903
W Sc La
1 1 1
direct
0.677 0.677 0.000
0.298 0.298 0.000
0.025 0.025 0.000
```

- mass density (g/cm³) = 8.217
- formation energy (eV/atom) = 0.48
- DOS at the Fermi energy (states/eV per atom) = 1.666



LaScW after structural relaxation, computed with PBE.

```
LaScW
1.0
-4.225 1.447 1.663
-4.019 -1.827 -1.793
-2.660 -2.948 2.635
La W Sc
1 1 1
direct
0.000 0.000 0.000
0.750 0.750 0.750
0.500 0.500 0.500
```

- mass density (g/cm³) = 7.978
- formation energy (eV/atom) = 0.75
- DOS at the Fermi energy (states/eV per atom) = 0.748



LaScW2 after structural relaxation, computed with PBE.

```
LaScW2
1.0
-1.000 -0.457 -4.949
-1.190 -3.803 0.591
-3.766 1.278 0.643
W La Sc
2 1 1
direct
0.000 0.500 0.500
0.000 0.000 0.000
0.500 0.500 0.000
0.500 0.000 0.500
```

- mass density (g/cm³) = 11.132
- formation energy (eV/atom) = 0.77
- DOS at the Fermi energy (states/eV per atom) = 1.243



LaSc3W after structural relaxation, computed with PBE.

```
LaSc3W
1.0
4.995 0.000 0.000
0.000 4.995 0.000
0.000 0.000 4.995
La Sc W
1 3 1
direct
0.000 0.000 0.000
0.000 0.000 0.500
0.000 0.500 0.000
0.500 0.000 0.000
0.500 0.500 0.500
```

- mass density (g/cm³) = 6.099
- formation energy (eV/atom) = 1.69
- DOS at the Fermi energy (states/eV per atom) = 1.639



LaScW2 after structural relaxation, computed with PBE.

```
LaScW2
1.0
-3.779 -4.154 -1.203
5.550 -0.809 -1.237
0.709 -1.957 2.087
W La Sc
2 1 1
direct
0.500 0.500 0.000
0.000 0.000 0.000
0.500 0.000 0.500
0.000 0.500 0.500
```

- mass density (g/cm³) = 11.498
- formation energy (eV/atom) = 0.68
- DOS at the Fermi energy (states/eV per atom) = 1.262



La5YSc after structural relaxation, computed with PBE.

```
La5YSc
1.0
5.509 0.000 2.018
2.150 7.316 2.656
0.172 0.550 8.054
La Sc Y
5 1 1
direct
0.000 0.684 0.316
0.245 0.755 0.755
0.500 0.000 0.000
0.755 0.245 0.245
0.000 0.316 0.684
0.000 0.000 0.000
0.500 0.500 0.500
```

- mass density (g/cm³) = 4.348
- formation energy (eV/atom) = 0.82
- DOS at the Fermi energy (states/eV per atom) = 2.155